Below is a PBEsol-optimized structure of TiIrRuBr2, with properties calculated at the meta-GGA SCAN level.

Output
* uncorrected formation energy: 1.262 eV per atom

Unit cell a=4.5845 b=4.7199 c=4.7199 alpha=90.00 beta=90.00 gamma=90.00
With the nearest neighbours (Å) after each atom.
Positions (direct):
Ru (0.5000, 0.0000, 0.0000)  2 Ti 2.29
Ir (0.5000, 0.5000, 0.5000)  8 Br 3.29, 4 Ru 3.34
Br (0.0000, 0.0000, 0.5000)  2 Ti 2.36
Br (0.0000, 0.5000, 0.0000)  2 Ti 2.36
Ti (0.0000, 0.0000, 0.0000)  2 Ru 2.29, 4 Br 2.36



Below is a PBEsol-optimized structure of ZnGe2Sb, with properties calculated at the meta-GGA SCAN level.

Output
* uncorrected formation energy: 0.393 eV per atom

Unit cell a=4.8210 b=4.8210 c=4.8210 alpha=60.00 beta=60.00 gamma=60.00
With the nearest neighbours (Å) after each atom.
Positions (direct):
Sb (0.5000, 0.5000, 0.5000)  8 Ge 2.95
Ge (0.2500, 0.2500, 0.2500)  4 Sb 2.95, 4 Zn 2.95
Ge (0.7500, 0.7500, 0.7500)  4 Zn 2.95, 4 Sb 2.95
Zn (0.0000, 0.0000, 0.0000)  8 Ge 2.95



Below is a PBEsol-optimized structure of InAg2, with properties calculated at the meta-GGA SCAN level.

Output
* energy of formation from the pure elements: -3 meV/atom

Unit cell a=4.1705 b=4.1705 c=12.8729 alpha=99.32 beta=99.32 gamma=90.00
With the nearest neighbours (Å) after each atom.
Positions (direct):
Ag (0.2502, 0.2502, 0.5005)  4 In 2.89-2.90, 8 Ag 2.94-2.95
Ag (0.7498, 0.7498, 0.4995)  4 In 2.89-2.90, 8 Ag 2.94-2.95
Ag (0.5002, 0.0002, 0.0005)  4 In 2.89-2.90, 8 Ag 2.94-2.95
Ag (0.9998, 0.4998, 0.9995)  4 In 2.89-2.90, 8 Ag 2.94-2.95
Ag (0.4171, 0.4171, 0.8342)  6 Ag 2.94-2.97, 6 In 2.95-3.02
Ag (0.5829, 0.5829, 0.1658)  6 Ag 2.94-2.97, 6 In 2.95-3.02
Ag (0.6671, 0.1671, 0.3342)  6 Ag 2.94-2.97, 6 In 2.95-3.02
Ag (0.8329, 0.3329, 0.6658)  6 Ag 2.94-2.97, 6 In 2.95-3.02
In (0.0802, 0.0802, 0.1604)  10 Ag 2.89-3.02, 2 In 3.06
In (0.9198, 0.9198, 0.8396)  10 Ag 2.89-3.02, 2 In 3.06
In (0.3302, 0.8302, 0.6604)  10 Ag 2.89-3.02, 2 In 3.06
In (0.1698, 0.6698, 0.3396)  10 Ag 2.89-3.02, 2 In 3.06



Below is a PBEsol-optimized structure of RbY3Cl, with properties calculated at the meta-GGA SCAN level.

Output
* uncorrected formation energy: 1.329 eV per atom

Unit cell a=5.5270 b=5.5270 c=5.5270 alpha=90.00 beta=90.00 gamma=90.00
With the nearest neighbours (Å) after each atom.
Positions (direct):
Y (0.0000, 0.5000, 0.0000)  2 Rb 2.76
Y (0.0000, 0.0000, 0.5000)  2 Rb 2.76
Y (0.5000, 0.0000, 0.0000)  2 Rb 2.76
Rb (0.0000, 0.0000, 0.0000)  6 Y 2.76
Cl (0.5000, 0.5000, 0.5000)  12 Y 3.91



Below is a PBEsol-optimized structure of IrRhAu2I, with properties calculated at the meta-GGA SCAN level.

Output
* uncorrected formation energy: 1.305 eV per atom

Unit cell a=4.6071 b=4.9738 c=4.9738 alpha=90.00 beta=90.00 gamma=90.00
With the nearest neighbours (Å) after each atom.
Positions (direct):
I (0.5000, 0.5000, 0.5000)  8 Au 3.39, 4 Ir 3.52
Rh (0.0000, 0.0000, 0.0000)  2 Ir 2.30, 4 Au 2.49
Ir (0.5000, 0.0000, 0.0000)  2 Rh 2.30
Au (0.0000, 0.0000, 0.5000)  2 Rh 2.49
Au (0.0000, 0.5000, 0.0000)  2 Rh 2.49



Below is a PBEsol-optimized structure of LaY2Tl, with properties calculated at the meta-GGA SCAN level.

Output
* energy relative to the lowest polymorph listed for this composition: 0.26 eV per formula unit
* energy of formation from the pure elements: -260 meV/atom

Unit cell a=3.5960 b=5.3286 c=6.5345 alpha=90.00 beta=105.97 gamma=90.00
With the nearest neighbours (Å) after each atom.
Positions (direct):
Y (0.8068, 0.0000, 0.6136)  2 Tl 3.13, 3 La 3.39-3.40, 4 Y 3.46
Y (0.2058, 0.5000, 0.4117)  3 Tl 3.37-3.42, 6 Y 3.46-3.60
Tl (0.9378, 0.5000, 0.8757)  5 Y 3.13-3.42, 4 La 3.45
La (0.5367, 0.0000, 0.0735)  3 Y 3.39-3.40, 4 Tl 3.45, 2 La 3.60



Below is a PBEsol-optimized structure of NaSbIr3, with properties calculated at the meta-GGA SCAN level.

Output
* uncorrected formation energy: 1.460 eV per atom

Unit cell a=4.8485 b=4.8485 c=4.8485 alpha=90.00 beta=90.00 gamma=90.00
With the nearest neighbours (Å) after each atom.
Positions (direct):
Sb (0.0000, 0.0000, 0.0000)  6 Ir 2.42
Ir (0.0000, 0.5000, 0.0000)  2 Sb 2.42
Ir (0.0000, 0.0000, 0.5000)  2 Sb 2.42
Ir (0.5000, 0.0000, 0.0000)  2 Sb 2.42
Na (0.5000, 0.5000, 0.5000)  12 Ir 3.43



Below is a PBEsol-optimized structure of CaZn2Au, with properties calculated at the meta-GGA SCAN level.

Output
* energy of formation from the pure elements: -367 meV/atom

Unit cell a=3.3460 b=3.3460 c=6.7205 alpha=90.00 beta=90.00 gamma=90.00
With the nearest neighbours (Å) after each atom.
Positions (direct):
Zn (0.0000, 0.0000, 0.0513)  4 Zn 2.72, 1 Au 2.72
Zn (0.5000, 0.5000, 0.2495)  4 Zn 2.72, 4 Au 2.74
Au (0.0000, 0.0000, 0.4557)  5 Zn 2.72-2.74
Ca (0.5000, 0.5000, 0.7435)  4 Au 3.06, 6 Zn 3.14-3.40, 4 Ca 3.35



Below is a PBEsol-optimized structure of LiTcSn2Cl, with properties calculated at the meta-GGA SCAN level.

Output
* uncorrected formation energy: 0.115 eV per atom

Unit cell a=5.0758 b=5.0758 c=5.1705 alpha=90.00 beta=90.00 gamma=90.00
With the nearest neighbours (Å) after each atom.
Positions (direct):
Cl (0.0000, 0.0000, 0.5000)  2 Tc 2.59
Li (0.5000, 0.5000, 0.5000)  4 Cl 3.59, 8 Sn 3.62
Sn (0.0000, 0.5000, 0.0000)  2 Tc 2.54
Sn (0.5000, 0.0000, 0.0000)  2 Tc 2.54
Tc (0.0000, 0.0000, 0.0000)  4 Sn 2.54, 2 Cl 2.59



Below is a PBEsol-optimized structure of K3ReSn, with properties calculated at the meta-GGA SCAN level.

Output
* energy of formation from the pure elements: 1539 meV/atom

Unit cell a=6.1392 b=6.1392 c=6.1392 alpha=90.00 beta=90.00 gamma=90.00
With the nearest neighbours (Å) after each atom.
Positions (direct):
Re (0.0000, 0.0000, 0.0000)  6 K 3.07
K (0.0000, 0.5000, 0.0000)  2 Re 3.07
K (0.0000, 0.0000, 0.5000)  2 Re 3.07
K (0.5000, 0.0000, 0.0000)  2 Re 3.07
Sn (0.5000, 0.5000, 0.5000)  12 K 4.34



Below is a PBEsol-optimized structure of KAuBr2, with properties calculated at the meta-GGA SCAN level.

Output
* uncorrected formation energy: -0.803 eV per atom
* energy relative to the lowest polymorph listed for this composition: 0.64 eV per formula unit

Unit cell a=4.1670 b=5.6866 c=5.6866 alpha=67.00 beta=68.51 gamma=68.51
With the nearest neighbours (Å) after each atom.
Positions (direct):
Au (0.5000, 0.0000, 0.0000)  4 Br 2.71
Br (0.2027, 0.7973, 0.7973)  2 Au 2.71
Br (0.7973, 0.2027, 0.2027)  2 Au 2.71
K (0.0000, 0.5000, 0.5000)  8 Br 3.28-3.58



Below is a PBEsol-optimized structure of Sb2TeOs, with properties calculated at the meta-GGA SCAN level.

Output
* uncorrected formation energy: 0.982 eV per atom

Unit cell a=3.3035 b=5.0821 c=5.0821 alpha=90.00 beta=90.00 gamma=90.00
With the nearest neighbours (Å) after each atom.
Positions (direct):
Os (0.5000, 0.0000, 0.0000)  8 Sb 3.03, 2 Os 3.30
Sb (0.0000, 0.0000, 0.5000)  4 Te 3.03, 4 Os 3.03, 2 Sb 3.30
Sb (0.0000, 0.5000, 0.0000)  4 Te 3.03, 4 Os 3.03, 2 Sb 3.30
Te (0.5000, 0.5000, 0.5000)  8 Sb 3.03, 2 Te 3.30



| no. | final energy (eV per atom) |
| --- | --- |
| 1 | -30.913 |
| 2 | -21.845 |
| 3 | -32.044 |
| 4 | -21.120 |
| 5 | -54.680 |
| 6 | -43.047 |
| 7 | -49.494 |
| 8 | -26.829 |
| 9 | -23.339 |
| 10 | -24.862 |
| 11 | -29.904 |
| 12 | -44.931 |